Computed, not measured: a relaxed PrYNO crystal at the PBE level of DFT.

Results
Total magnetic moment (Bohr magnetons per cell): 0.02
ΔE to the lowest computed polymorph (eV per atom): 0.0505
Space group: No. 26

Geometry as POSCAR:
```
PrYNO
1.0
4.093 0.000 0.000
0.000 5.089 0.000
0.000 0.000 7.028
Pr N O Y
2 2 2 2
Cartesian
0.000 2.232 2.362
0.000 4.776 4.665
0.000 4.779 2.240
0.000 2.234 4.788
2.047 4.771 5.973
2.047 2.226 1.055
2.047 2.234 5.822
2.047 4.779 1.206
```

Computed, not measured: a relaxed HfTaAg2 crystal at the PBE level of DFT.

Results
Formation energy (meV per atom): 466
Total magnetic moment (Bohr magnetons per cell): 2.92
Space group: No. 216

Geometry as POSCAR:
```
HfTaAg2
1.0
0.000 3.343 3.343
3.343 0.000 3.343
3.343 3.343 0.000
Hf Ag Ta
1 2 1
Cartesian
1.672 1.672 1.672
0.000 0.000 0.000
5.015 5.015 5.015
3.343 3.343 3.343
```

Computed, not measured: a relaxed PrYGeCl2 crystal at the PBE level of DFT.

Results
Total magnetic moment (Bohr magnetons per cell): 0.00
VASP energy (eV per atom): -5.5480
Space group: No. 156

Geometry as POSCAR:
```
PrYGeCl2
1.0
-3.710 -1.690 0.942
3.419 -2.408 -0.149
1.628 1.723 9.502
Pr Cl Y Ge
1 2 1 1
Cartesian
2.131 -1.017 6.566
1.327 -1.868 1.874
0.028 -0.489 8.523
-0.799 -1.364 3.700
0.802 0.848 4.677
```

Computed, not measured: a relaxed PmTaPd crystal at the PBE level of DFT.

Results
Formation energy (meV per atom): 377
Total magnetic moment (Bohr magnetons per cell): 1.17
ΔE to the lowest computed polymorph (eV per atom): 0.3987
Space group: No. 216

Geometry as POSCAR:
```
PmTaPd
1.0
0.000 3.316 3.316
3.316 0.000 3.316
3.316 3.316 0.000
Pd Ta Pm
1 1 1
Cartesian
0.000 0.000 0.000
4.974 4.974 4.974
1.658 1.658 1.658
```

Computed, not measured: a relaxed Sm2ZnHg crystal at the PBE level of DFT.

Results
Formation energy (meV per atom): -409
Total magnetic moment (Bohr magnetons per cell): 0.27
Space group: No. 123

Geometry as POSCAR:
```
Sm2ZnHg
1.0
-1.801 3.111 -0.850
-2.334 -1.930 -2.115
-4.499 -0.999 5.876
Hg Sm Zn
1 2 1
Cartesian
-2.249 -0.499 2.938
-5.517 -0.175 3.023
-3.117 0.358 -0.113
0.000 0.000 0.000
```

Computed, not measured: a relaxed PIrPbO crystal at the PBE level of DFT.

Results
Total magnetic moment (Bohr magnetons per cell): 0.00
ΔE to the lowest computed polymorph (eV per atom): 0.5273
Space group: No. 26

Geometry as POSCAR:
```
PIrPbO
1.0
3.347 0.000 0.000
0.000 7.957 0.000
0.000 0.000 6.260
O Ir P Pb
2 2 2 2
Cartesian
0.000 4.366 5.967
0.000 3.592 2.837
0.000 5.501 3.136
0.000 2.456 0.006
1.673 6.787 2.489
1.673 1.170 5.619
1.673 6.000 5.650
1.673 1.957 2.519
```